1.
Computed, not measured: an optimized crystal structure of TlMoAu2 at the PBE-GGA level of DFT.

Output
space group	No. 123
volume	19.79	A^3/atom
mass density	14.56	g/cm3
E_tot	-4.642	eV per atom
formation energy from the elements	296	meV per atom

a b c (Å): 2.9228 2.9228 9.2671
angles (deg): 90.00 90.00 89.99
Atoms (fractional coordinates):
1 Au 0.0000 0.0000 0.0370
2 Au 0.0000 0.0000 0.4630
3 Mo 0.5000 0.5000 0.2500
4 Tl 0.5000 0.5000 0.7500

2.
Computed, not measured: an optimized crystal structure of TlMoAu2 at the PBE-GGA level of DFT.

Output
space group	No. 119
volume	19.17	A^3/atom
mass density	15.03	g/cm3
E_tot	-4.417	eV per atom
formation energy from the elements	521	meV per atom

a b c (Å): 4.9957 4.9957 4.9957
angles (deg): 127.18 127.18 77.95
Atoms (fractional coordinates):
1 Au 0.0000 0.0000 0.0000
2 Au 0.2500 0.7500 0.5000
3 Mo 0.5000 0.5000 0.0000
4 Tl 0.7500 0.2500 0.5000

3.
Computed, not measured: an optimized crystal structure of TlMoAu2 at the PBE-GGA level of DFT.

Output
space group	No. 47
volume	19.09	A^3/atom
mass density	15.10	g/cm3
E_tot	-4.515	eV per atom
formation energy from the elements	423	meV per atom

a b c (Å): 2.9457 4.2116 6.1546
angles (deg): 90.00 90.00 90.00
Atoms (fractional coordinates):
1 Au 0.0000 0.0000 0.0251
2 Au 0.0000 0.0000 0.4749
3 Mo 0.5000 0.5000 0.2500
4 Tl 0.5000 0.5000 0.7500

4.
Computed, not measured: an optimized crystal structure of TlMoAu2 at the PBE-GGA level of DFT.

Output
space group	No. 25
volume	18.98	A^3/atom
mass density	15.19	g/cm3
E_tot	-4.493	eV per atom
formation energy from the elements	445	meV per atom

a b c (Å): 4.6839 2.9794 5.4397
angles (deg): 90.04 90.00 90.00
Atoms (fractional coordinates):
1 Au 0.0000 0.1243 0.9850
2 Au 0.5000 0.1255 0.2898
3 Mo 0.0000 0.6253 0.4517
4 Tl 0.5000 0.6249 0.7735

5.
Computed, not measured: an optimized crystal structure of TlMo2Au at the PBE-GGA level of DFT.

Output
space group	No. 216
volume	18.15	A^3/atom
mass density	13.57	g/cm3
E_tot	-6.095	eV per atom
formation energy from the elements	731	meV per atom

a b c (Å): 4.6824 4.6824 4.6824
angles (deg): 60.00 60.00 60.00
Atoms (fractional coordinates):
1 Au 0.5000 0.5000 0.5000
2 Mo 0.0000 0.0000 0.0000
3 Mo 0.2500 0.2500 0.2500
4 Tl 0.7500 0.7500 0.7500

6.
Computed, not measured: an optimized crystal structure of TlMo2Au at the PBE-GGA level of DFT.

Output
space group	No. 225
volume	17.77	A^3/atom
mass density	13.85	g/cm3
E_tot	-6.096	eV per atom
formation energy from the elements	731	meV per atom

a b c (Å): 4.6501 4.6501 4.6501
angles (deg): 60.00 60.00 60.00
Atoms (fractional coordinates):
1 Tl 0.5000 0.5000 0.5000
2 Au 0.0000 0.0000 0.0000
3 Mo 0.2500 0.2500 0.2500
4 Mo 0.7500 0.7500 0.7500

Please write out number 5 again, unchanged.
Computed, not measured: an optimized crystal structure of TlMo2Au at the PBE-GGA level of DFT.

Output
space group	No. 216
volume	18.15	A^3/atom
mass density	13.57	g/cm3
E_tot	-6.095	eV per atom
formation energy from the elements	731	meV per atom

a b c (Å): 4.6824 4.6824 4.6824
angles (deg): 60.00 60.00 60.00
Atoms (fractional coordinates):
1 Au 0.5000 0.5000 0.5000
2 Mo 0.0000 0.0000 0.0000
3 Mo 0.2500 0.2500 0.2500
4 Tl 0.7500 0.7500 0.7500

- Among the records above, which one has the highest volume?
  number 1